No. 1
Compound: AcNdPdI
Source: Alexandria via LeMat-Bulk
Functional: PBE-GGA
Structure: optimized geometry

Total moment: 0.000 μB per atom
Symmetry: R3m (160)
Energy relative to the elements, uncorrected: -906 meV per atom

a = 8.770 Å, b = 8.770 Å, c = 8.770 Å
α = 28.77°, β = 28.77°, γ = 28.77°
Fractional positions:
Ac: 0.000 0.000 0.000
Nd: 0.207 0.207 0.207
Pd: 0.600 0.600 0.600
I: 0.776 0.776 0.776

=====

No. 2
Compound: AcNdPtI
Source: Alexandria via LeMat-Bulk
Functional: PBE-GGA
Structure: optimized geometry

Total moment: 0.000 μB per atom
Symmetry: R3m (160)
Energy relative to the elements, uncorrected: -1156 meV per atom

a = 8.775 Å, b = 8.775 Å, c = 8.775 Å
α = 28.83°, β = 28.83°, γ = 28.83°
Fractional positions:
Ac: 0.000 0.000 0.000
Nd: 0.210 0.210 0.210
Pt: 0.601 0.601 0.601
I: 0.777 0.777 0.777

=====

No. 3
Compound: AcNdRhI
Source: Alexandria via LeMat-Bulk
Functional: PBE-GGA
Structure: optimized geometry

Total moment: 0.000 μB per atom
Symmetry: R3m (160)
Energy relative to the elements, uncorrected: -983 meV per atom

a = 8.805 Å, b = 8.805 Å, c = 8.805 Å
α = 28.07°, β = 28.07°, γ = 28.07°
Fractional positions:
Ac: 0.000 0.000 0.000
Nd: 0.789 0.789 0.789
Rh: 0.397 0.397 0.397
I: 0.220 0.220 0.220

=====

No. 4
Compound: Ac2NdRh2I2
Source: Alexandria via LeMat-Bulk
Functional: PBE-GGA
Structure: optimized geometry

Total moment: 0.000 μB per atom
Symmetry: I4/mmm (139)
Energy relative to the elements, uncorrected: -790 meV per atom

a = 9.548 Å, b = 9.548 Å, c = 9.548 Å
α = 148.06°, β = 148.06°, γ = 45.79°
Fractional positions:
Ac: 0.107 0.107 0.000
Ac: 0.893 0.893 0.000
Nd: 0.500 0.500 0.000
Rh: 0.000 0.500 0.500
Rh: 0.500 0.000 0.500
I: 0.308 0.308 0.000
I: 0.692 0.692 0.000